Record 1
The following is a DFT calculation (meta-GGA SCAN) of CsBi3O at its PBEsol-relaxed geometry.

Structure (POSCAR):
```
CsBi3O
1.0
-1.8819 -1.7945 5.7095
5.9758 -0.8932 1.6890
0.3297 5.9449 1.9771
Cs Bi O
1 3 1
Cartesian
0.0000 0.0000 0.0000
2.9879 -0.4466 0.8445
-0.9410 -0.8972 2.8548
0.1649 2.9725 0.9886
2.2118 1.6287 4.6878
```

Output
total moment: 0.415 μB per atom
energy relative to the elements, uncorrected: 1980 meV per atom
VASP energy: -53.976 eV/atom

***

Record 2
The following is a DFT calculation (meta-GGA SCAN) of Na2NbIr at its PBEsol-relaxed geometry.

Structure (POSCAR):
```
Na2NbIr
1.0
4.9081 0.0000 0.0000
2.4541 5.9578 0.0000
2.4541 0.0000 5.9578
Nb Ir Na
2 2 4
Cartesian
3.6811 2.9789 2.9789
2.4541 0.0000 0.0000
6.1352 2.9789 2.9789
0.0000 0.0000 0.0000
5.5217 5.7020 3.2347
6.7487 2.7231 5.7020
5.5217 0.2558 2.7231
1.8406 3.2347 0.2558
```

Output
total moment: 0.450 μB per atom
VASP energy: -27.211 eV/atom

***

Record 3
The following is a DFT calculation (meta-GGA SCAN) of Li2As2Au at its PBEsol-relaxed geometry.

Structure (POSCAR):
```
Li2As2Au
1.0
-2.9253 0.6242 -2.7642
-1.3925 -6.4644 0.0139
-4.3853 0.9551 4.8564
Au As Li
2 4 4
Cartesian
-2.8889 -2.7547 2.4352
0.0000 0.0000 0.0000
-4.3150 -1.5463 4.2173
-1.7956 -0.5067 1.7858
-1.4627 -3.9630 0.6530
-3.9821 -5.0026 3.0845
-4.6236 -0.1337 1.8623
-6.0426 -3.2085 2.6696
-2.6605 -1.6766 -0.5636
-4.0794 -4.7514 0.2437
```

Output
total moment: 0.000 μB per atom
VASP energy: -23.361 eV/atom